(1)
AlCdIn2Br6 after structural relaxation, computed with PBE.

Lattice parameters (Å, degrees): 10.8717 10.8717 10.8717 90.00 90.00 90.00
Space group Fm-3m (No. 225)
Symmetry-distinct sites (fractional):
Al: 0.0000 0.0000 0.0000 (multiplicity 4)
Cd: 0.0000 0.0000 0.5000 (multiplicity 4)
In: 0.2500 0.2500 0.2500 (multiplicity 8)
Br: 0.0000 0.0000 0.2359 (multiplicity 24)

The total energy is -2.72 eV per atom.



(2)
PrGd2Mg3Tl2Zn after structural relaxation, computed with PBE.

Lattice parameters (Å, degrees): 4.6488 13.2368 7.5181 90.00 90.00 90.00
Space group Amm2 (No. 38)
Symmetry-distinct sites (fractional):
Pr: 0.0000 0.0000 0.0000 (multiplicity 2)
Gd: 0.0000 0.2055 0.6158 (multiplicity 4)
Mg: 0.5000 0.0000 0.6480 (multiplicity 2)
Mg: 0.5000 0.1173 0.2955 (multiplicity 4)
Tl: 0.5000 0.1697 0.9101 (multiplicity 4)
Zn: 0.0000 0.0000 0.4194 (multiplicity 2)

The total energy is -3.08 eV per atom. As for the size of the total moment: 0.0 μB per formula unit.



(3)
Sn4Os after structural relaxation, computed with PBE.

Lattice parameters (Å, degrees): 6.3781 6.3781 23.2251 90.00 90.00 90.00
Space group I4_1/acd (No. 142, origin choice 2)
Symmetry-distinct sites (fractional):
Sn: 0.1763 0.0740 0.3120 (multiplicity 32)
Os: 0.0000 0.2500 0.1250 (multiplicity 8)

The total energy is -5.36 eV per atom. As for the size of the total moment: 0.0 μB per formula unit.



(4)
Na2TcO3 after structural relaxation, computed with PBE.

Lattice parameters (Å, degrees): 5.4273 9.3962 5.6226 90.00 109.10 90.00
Space group C2/m (No. 12)
Symmetry-distinct sites (fractional):
Na: 0.0000 0.0000 0.0000 (multiplicity 2)
Na: 0.0000 0.1576 0.5000 (multiplicity 4)
Na: 0.0000 0.5000 0.5000 (multiplicity 2)
Tc: 0.0000 0.3326 0.0000 (multiplicity 4)
O: 0.2076 0.5000 0.2124 (multiplicity 4)
O: 0.2456 0.3173 0.7878 (multiplicity 8)

The total energy is -6.15 eV per atom. As for the size of the total moment: 3.0 μB per formula unit.



(5)
BeNbNiSn after structural relaxation, computed with PBE.

Lattice parameters (Å, degrees): 6.1649 6.1649 6.1649 90.00 90.00 90.00
Space group F-43m (No. 216)
Symmetry-distinct sites (fractional):
Be: 0.0000 0.0000 0.0000 (multiplicity 4)
Nb: 0.2500 0.2500 0.7500 (multiplicity 4)
Ni: 0.0000 0.0000 0.5000 (multiplicity 4)
Sn: 0.2500 0.2500 0.2500 (multiplicity 4)

The total energy is -5.70 eV per atom. As for the size of the total moment: 0.9 μB per formula unit.



(6)
TbGdNb2Sn2 after structural relaxation, computed with PBE.

Lattice parameters (Å, degrees): 4.2029 4.2029 8.2289 90.00 90.00 90.00
Space group P4mm (No. 99)
Symmetry-distinct sites (fractional):
Tb: 0.0000 0.0000 0.0000 (multiplicity 1)
Gd: 0.5000 0.5000 0.7048 (multiplicity 1)
Nb: 0.0000 0.5000 0.3515 (multiplicity 2)
Sn: 0.0000 0.0000 0.6012 (multiplicity 1)
Sn: 0.5000 0.5000 0.1018 (multiplicity 1)

The total energy is -6.68 eV per atom. As for the size of the total moment: 1.1 μB per formula unit.